Here is Sc3Zn2Cu after structural relaxation from the Alexandria database. Energies are from PBE.

Lattice parameters (Å, degrees): 4.7107 14.1077 3.3140 90.00 90.00 90.00
Last column: nearest neighbours and their distance in Å.
Space group Cmmm (No. 65)
Inequivalent atoms, fractional coordinates:
Sc (0.0000, 0.0000, 0.0000)  4 Cu 2.88, 4 Zn 2.92
Sc (0.0000, 0.3379, 0.0000)  2 Cu 2.82, 6 Zn 2.88-2.89
Zn (0.0000, 0.1703, 0.5000)  8 Sc 2.88-2.92
Cu (0.0000, 0.5000, 0.5000)  8 Sc 2.82-2.88

Properties
Excess energy over the best structure of this formula in the dataset (meV/atom): 4.4
Density of states at the Fermi level (states/eV/cell): 11.08